No. 1
First-principles (PBE) data for a relaxed structure of MnMo2Ru, as listed in Alexandria.

The calculation puts the formation energy at 0.126 eV per atom. Its density of states at the Fermi level is 0.997 states/eV per atom. The value obtained for the excess energy over the best structure of this formula in the dataset is 0.057 eV/atom.

Unit cell a=3.8612 b=3.8612 c=3.8936 alpha=90.00 beta=90.00 gamma=90.00
Fractional positions:
Ru  0.5000  0.0000  0.5000
Mn  0.0000  0.5000  0.5000
Mo  0.0000  0.0000  0.0000
Mo  0.5000  0.5000  0.0000



No. 2
First-principles (PBE) data for a relaxed structure of Tb3PrY3, as listed in Alexandria.

The calculation puts the formation energy at 0.230 eV per atom. Its density of states at the Fermi level is 1.698 states/eV per atom. The value obtained for the excess energy over the best structure of this formula in the dataset is 0.000 eV/atom.

Unit cell a=8.8789 b=8.8789 c=8.8789 alpha=58.69 beta=58.69 gamma=58.69
Fractional positions:
Y  0.9362  0.7128  0.1729
Y  0.2872  0.8271  0.0638
Y  0.0638  0.2872  0.8271
Y  0.1729  0.9362  0.7128
Y  0.8271  0.0638  0.2872
Y  0.7128  0.1729  0.9362
Tb  0.2736  0.4296  0.9357
Tb  0.5704  0.0643  0.7264
Tb  0.0643  0.7264  0.5704
Tb  0.9357  0.2736  0.4296
Tb  0.7264  0.5704  0.0643
Tb  0.4296  0.9357  0.2736
Pr  0.3489  0.3489  0.3489
Pr  0.6511  0.6511  0.6511